Entry 1:
Below is an optimized crystal structure of Tc2NiMo, with properties calculated at the GGA-PBE level.

Polymorph energy (0 for the lowest one) (kJ/mol of atoms): 9.2
Calculated volume (Å³/atom): 14.06
Spin magnetization (μB/atom): 0.00
Calculated formation energy (kcal/mol of atoms): 1.845

Unit cell a=3.170 b=3.170 c=5.600 alpha=90.00 beta=90.00 gamma=90.00
Space group P4/mmm (No. 123)
Unique sites:
Tc: 0.000 0.000 0.229 [2 per cell]
Ni: 0.500 0.500 0.000 [1 per cell]
Mo: 0.500 0.500 0.500 [1 per cell]

Entry 2:
Below is an optimized crystal structure of Tc2NiMo, with properties calculated at the GGA-PBE level.

Polymorph energy (0 for the lowest one) (kJ/mol of atoms): 7.3
Calculated volume (Å³/atom): 14.03
Spin magnetization (μB/atom): 0.00
Calculated formation energy (kcal/mol of atoms): 1.393

Unit cell a=3.870 b=3.870 c=7.497 alpha=90.00 beta=90.00 gamma=90.00
Space group I4/mmm (No. 139)
Unique sites:
Tc: 0.000 0.500 0.250 [4 per cell]
Ni: 0.000 0.000 0.000 [2 per cell]
Mo: 0.000 0.000 0.500 [2 per cell]